Compound: KScC
Source: Alexandria
Functional: PBE
Structure: relaxed

Properties
Energy above the lowest structure with this stoichiometry in meV per atom: 201.9
E_form in eV/atom: 0.1633

abc: 4.326 4.326 6.598
angles: 90.00 90.00 90.00
Fractional coordinates of all 6 atoms:
C1 0.000 0.500 0.871
C2 0.500 0.000 0.129
K1 0.500 0.000 0.597
K2 0.000 0.500 0.403
Sc1 0.500 0.500 0.000
Sc2 0.000 0.000 0.000